(1)
An optimized crystal structure of La3MgOs. Source: OQMD, functional PBE-GGA.

Its crystal system is cubic. The value obtained for the volume is 35.4 Å³ per atom. The total energy comes out at -27.92 eV/cell.

The space group is Pm-3m (No. 221) and the conventional cell measures 5.615, 5.615 and 5.615 Å, with angles of 90.00, 90.00 and 90.00 degrees. Symmetry generates all atoms from La at (0.000, 0.000, 0.500), Mg at (0.500, 0.500, 0.500) and Os at (0.000, 0.000, 0.000).

(2)
An optimized crystal structure of La3MgOs. Source: OQMD, functional PBE-GGA.

Its crystal system is triclinic. The value obtained for the volume is 30.0 Å³ per atom. The total energy comes out at -56.26 eV/cell.

The space group is P1 (No. 1) and the conventional cell measures 6.534, 6.912 and 6.996 Å, with angles of 95.95, 104.43 and 98.09 degrees. Symmetry generates all atoms from La at (0.000, 0.000, 0.000), La at (0.011, 0.545, 0.419), La at (0.140, 0.071, 0.521), La at (0.489, 0.760, 0.193), La at (0.545, 0.241, 0.037), La at (0.579, 0.649, 0.673), Mg at (0.062, 0.477, 0.917), Mg at (0.658, 0.181, 0.551), Os at (0.274, 0.832, 0.814) and Os at (0.321, 0.361, 0.297).

(3)
An optimized crystal structure of LaMgSbOs. Source: OQMD, functional PBE-GGA.

Its crystal system is cubic. The value obtained for the volume is 21.3 Å³ per atom. The total energy comes out at -87.08 eV/cell.

The space group is F-43m (No. 216) and the conventional cell measures 6.990, 6.990 and 6.990 Å, with angles of 90.00, 90.00 and 90.00 degrees. Symmetry generates all atoms from La at (0.000, 0.000, 0.000), Mg at (0.250, 0.250, 0.750), Sb at (0.250, 0.250, 0.250) and Os at (0.000, 0.000, 0.500).